Sc8HgIr2: relaxed, PBE.

Cell: 4.840 6.549 8.404 Å, 112.94 106.74 89.99°
Sites, in units of the cell vectors:
Sc  0.927  0.432  0.491
Sc  0.750  0.946  0.136
Sc  0.969  0.015  0.574
Sc  0.636  0.267  0.909
Sc  0.523  0.719  0.682
Sc  0.346  0.851  0.327
Sc  0.304  0.350  0.244
Sc  0.136  0.551  0.909
Ir  0.467  0.278  0.569
Ir  0.807  0.618  0.249
Hg  0.136  0.974  0.909

Properties
- DFT formation energy: -0.54 eV/atom
- Space group: Imm2
- M_tot: 0.000 μB per cell

---

Sc4HgIr2: relaxed, PBE.

Cell: 4.666 4.666 7.911 Å, 72.85 72.85 60.00°
Sites, in units of the cell vectors:
Sc  0.132  0.132  0.605
Sc  0.868  0.868  0.395
Sc  0.385  0.385  0.846
Sc  0.615  0.615  0.154
Ir  0.252  0.252  0.245
Ir  0.748  0.748  0.755
Hg  0.000  0.000  0.000

Properties
- DFT formation energy: -0.70 eV/atom
- Space group: R-3m
- M_tot: 0.000 μB per cell

---

Sc2HgIr: relaxed, PBE.

Cell: 3.340 3.216 7.195 Å, 90.00 90.00 90.00°
Sites, in units of the cell vectors:
Sc  0.000  0.000  0.529
Sc  0.000  0.000  0.971
Ir  0.500  0.500  0.750
Hg  0.500  0.500  0.250

Properties
- DFT formation energy: -0.74 eV/atom
- Space group: Pmmm
- M_tot: 0.000 μB per cell

---

Sc5HgIr4: relaxed, PBE.

Cell: 3.229 3.229 17.073 Å, 90.00 90.00 90.00°
Sites, in units of the cell vectors:
Ir  0.000  0.000  0.595
Ir  0.000  0.000  0.212
Ir  0.000  0.000  0.788
Ir  0.000  0.000  0.405
Sc  0.500  0.500  0.500
Sc  0.500  0.500  0.880
Sc  0.500  0.500  0.309
Sc  0.500  0.500  0.691
Sc  0.500  0.500  0.120
Hg  0.000  0.000  0.000

Properties
- DFT formation energy: -0.90 eV/atom
- Space group: P4/mmm
- M_tot: 0.000 μB per cell

---

Sc5Hg4Ir: relaxed, PBE.

Cell: 3.393 3.393 18.050 Å, 90.00 90.00 90.00°
Site moments in Bohr magnetons follow the coordinates.
Sites, in units of the cell vectors:
Ir  0.000  0.000  0.000  0.00
Sc  0.500  0.500  0.917  0.00
Sc  0.500  0.500  0.500  -0.09
Sc  0.500  0.500  0.707  0.10
Sc  0.500  0.500  0.083  0.00
Sc  0.500  0.500  0.293  0.10
Hg  0.000  0.000  0.397  0.00
Hg  0.000  0.000  0.191  0.01
Hg  0.000  0.000  0.809  0.01
Hg  0.000  0.000  0.603  0.00

Properties
- DFT formation energy: -0.54 eV/atom
- Space group: P4/mmm
- M_tot: 0.174 μB per cell

---

Sc2HgIr: relaxed, PBE.

Cell: 5.624 5.624 5.624 Å, 142.58 133.11 61.47°
Sites, in units of the cell vectors:
Sc  0.027  0.027  0.000
Sc  0.751  0.251  0.500
Ir  0.236  0.736  0.500
Hg  0.485  0.485  0.000

Properties
- DFT formation energy: -0.49 eV/atom
- Space group: Imm2
- M_tot: 0.000 μB per cell

---

Sc2HgIr: relaxed, PBE.

Cell: 4.709 4.709 4.709 Å, 60.00 60.00 60.00°
Sites, in units of the cell vectors:
Sc  0.000  0.000  0.000
Sc  0.250  0.250  0.250
Ir  0.750  0.750  0.750
Hg  0.500  0.500  0.500

Properties
- DFT formation energy: -0.39 eV/atom
- Space group: F-43m
- M_tot: 0.000 μB per cell

---

Sc2Hg2Ir: relaxed, PBE.

Cell: 3.196 3.196 10.044 Å, 99.15 99.15 90.00°
Sites, in units of the cell vectors:
Sc  0.415  0.415  0.830
Sc  0.585  0.585  0.170
Ir  0.000  0.000  0.000
Hg  0.192  0.192  0.385
Hg  0.808  0.808  0.615

Properties
- DFT formation energy: -0.57 eV/atom
- Space group: I4/mmm
- M_tot: 0.000 μB per cell

---

Q: The highest DFT formation energy belongs to which entry?
A: number 7